An optimized crystal structure of MnPO4. Source: Alexandria, functional PBE with a Hubbard U.

Unit cell a=7.3009 b=6.2684 c=5.4217 alpha=76.92 beta=56.75 gamma=46.33
Last column: nearest neighbours and their distance in Å.
Element x y z (fractional)
1 O 0.3003 0.5195 0.2522  1 P 1.57
2 O 0.7305 0.9497 0.3219  1 P 1.57
3 O 0.7325 0.3924 0.2221  1 P 1.54
4 O 0.3219 0.9978 0.7305  1 P 1.57
5 O 0.8576 0.5175 0.5971  1 P 1.54
6 O 0.2522 0.9281 0.3003  1 P 1.57
7 O 0.5971 0.0279 0.8576  1 P 1.54
8 O 0.2221 0.6529 0.7325  1 P 1.54
9 Mn 0.2943 0.2057 0.2943  4 O 1.95-1.96
10 Mn 0.0443 0.9557 0.0443  4 O 1.95-1.96
11 P 0.3857 0.6143 0.3857  4 O 1.54-1.57
12 P 0.6357 0.8643 0.6357  4 O 1.54-1.57

Values from the calculation:
- Total magnetic moment: 3.99 μB per formula unit
- SG: Fdd2 (43)
- Energy: -0.2711 Ha/atom